No. 1
Here is crystalline Zn2SbOs at its relaxed geometry from Alexandria. Energies are from GGA-PBE.

Unit cell a=3.988 b=3.988 c=4.141 alpha=90.00 beta=90.00 gamma=90.00
Space group P4/mmm (No. 123)
Unique sites:
Zn 0.000 0.500 0.000 x2
Sb 0.000 0.000 0.500 x1
Os 0.500 0.500 0.500 x1

Output
energy relative to the elements, uncorrected = 1.78 eV per formula unit
raw total energy = -16.1 eV for the cell shown

No. 2
Here is crystalline HoPaFe at its relaxed geometry from Alexandria. Energies are from GGA-PBE.

Unit cell a=5.896 b=3.657 c=12.567 alpha=90.00 beta=90.00 gamma=90.00
Space group Pnma (No. 62)
Unique sites:
Ho 0.128 0.250 0.105 x4
Pa 0.127 0.750 0.346 x4
Fe 0.137 0.250 0.464 x4

Output
raw total energy = -91.7 eV for the cell shown

No. 3
Here is crystalline Pr2SeO at its relaxed geometry from Alexandria. Energies are from GGA-PBE.

Unit cell a=3.8701 b=3.8701 c=20.0965 alpha=90.00 beta=90.00 gamma=120.00
Space group R-3m (No. 166, hexagonal axes)
Unique sites:
Pr 0.0000 0.0000 0.2327 x6
Se 0.0000 0.0000 0.0000 x3
O 0.0000 0.0000 0.5000 x3

Output
energy relative to the elements, uncorrected = -8.80 eV per formula unit
raw total energy = -80.4 eV for the cell shown

No. 4
Here is crystalline TaAgO2 at its relaxed geometry from Alexandria. Energies are from GGA-PBE.

Unit cell a=5.668 b=5.668 c=5.668 alpha=90.00 beta=90.00 gamma=90.00
Space group Fm-3m (No. 225)
Unique sites:
Ta 0.000 0.000 0.000 x4
Ag 0.000 0.000 0.500 x4
O 0.250 0.250 0.250 x8

Output
energy relative to the elements, uncorrected = -1.67 eV per formula unit
raw total energy = -105.2 eV for the cell shown

No. 5
Here is crystalline Ho3MgIn4 at its relaxed geometry from Alexandria. Energies are from GGA-PBE.

Unit cell a=7.271 b=7.281 c=15.356 alpha=90.00 beta=90.00 gamma=90.00
Space group Fmmm (No. 69)
Unique sites:
Ho 0.000 0.000 0.000 x4
Ho 0.000 0.000 0.254 x8
Mg 0.000 0.000 0.500 x4
In 0.250 0.250 0.121 x16

Output
raw total energy = -117.0 eV for the cell shown

No. 6
Here is crystalline Sc5Al4Ir at its relaxed geometry from Alexandria. Energies are from GGA-PBE.

Unit cell a=3.213 b=3.213 c=18.327 alpha=90.00 beta=90.00 gamma=90.00
Space group P4/mmm (No. 123)
Unique sites:
Sc 0.000 0.000 0.000 x1
Sc 0.000 0.000 0.206 x2
Sc 0.000 0.000 0.412 x2
Al 0.500 0.500 0.103 x2
Al 0.500 0.500 0.307 x2
Ir 0.500 0.500 0.500 x1

Output
raw total energy = -61.2 eV for the cell shown

No. 7
Here is crystalline Li2La2AgPd5 at its relaxed geometry from Alexandria. Energies are from GGA-PBE.

Unit cell a=9.582 b=9.582 c=3.924 alpha=90.00 beta=90.00 gamma=90.00
Space group P4/mbm (No. 127)
Unique sites:
Li 0.115 0.385 0.000 x4
La 0.183 0.683 0.000 x4
Ag 0.000 0.000 0.000 x2
Pd 0.000 0.500 0.500 x2
Pd 0.066 0.210 0.500 x8

Output
raw total energy = -96.5 eV for the cell shown

No. 8
Here is crystalline Y3As at its relaxed geometry from Alexandria. Energies are from GGA-PBE.

Unit cell a=3.8719 b=3.8719 c=28.3382 alpha=90.00 beta=90.00 gamma=120.00
Space group R-3m (No. 166, hexagonal axes)
Unique sites:
Y 0.0000 0.0000 0.0000 x3
Y 0.0000 0.0000 0.2275 x6
As 0.0000 0.0000 0.5000 x3

Output
raw total energy = -79.5 eV for the cell shown

No. 9
Here is crystalline Er7Tm4Sc at its relaxed geometry from Alexandria. Energies are from GGA-PBE.

Unit cell a=6.357 b=6.650 c=8.934 alpha=85.61 beta=76.23 gamma=81.51
Space group P-1 (No. 2)
Unique sites:
Er 0.000 0.000 0.000 x1
Er 0.189 0.609 0.386 x2
Er 0.321 0.197 0.637 x2
Er 0.495 0.745 0.050 x2
Tm 0.166 0.118 0.308 x2
Tm 0.349 0.686 0.719 x2
Sc 0.000 0.500 0.000 x1

Output
raw total energy = -54.9 eV for the cell shown

No. 10
Here is crystalline Mg2TiTcOs at its relaxed geometry from Alexandria. Energies are from GGA-PBE.

Unit cell a=4.817 b=4.817 c=4.686 alpha=90.00 beta=90.00 gamma=90.00
Space group P4/mmm (No. 123)
Unique sites:
Mg 0.000 0.500 0.000 x2
Ti 0.000 0.000 0.500 x1
Tc 0.500 0.500 0.500 x1
Os 0.500 0.500 0.000 x1

Output
raw total energy = -27.3 eV for the cell shown

No. 11
Here is crystalline TaPd8Pt5 at its relaxed geometry from Alexandria. Energies are from GGA-PBE.

Unit cell a=7.776 b=7.776 c=7.770 alpha=90.00 beta=90.00 gamma=90.00
Space group I-4 (No. 82)
Unique sites:
Ta 0.000 0.000 0.000 x2
Pd 0.079 0.831 0.289 x8
Pd 0.081 0.678 0.966 x8
Pt 0.000 0.500 0.250 x2
Pt 0.120 0.748 0.633 x8

Output
raw total energy = -164.6 eV for the cell shown

No. 12
Here is crystalline AlAgSe2N at its relaxed geometry from Alexandria. Energies are from GGA-PBE.

Unit cell a=5.244 b=5.244 c=3.479 alpha=90.00 beta=90.00 gamma=90.00
Space group P4/mmm (No. 123)
Unique sites:
Al 0.000 0.000 0.000 x1
Ag 0.500 0.500 0.500 x1
Se 0.000 0.500 0.000 x2
N 0.000 0.000 0.500 x1

Output
energy relative to the elements, uncorrected = 1.75 eV per formula unit
raw total energy = -20.1 eV for the cell shown

No. 13
Here is crystalline Ce2HoPt at its relaxed geometry from Alexandria. Energies are from GGA-PBE.

Unit cell a=3.6403 b=3.6403 c=30.8583 alpha=90.00 beta=90.00 gamma=120.00
Space group R-3m (No. 166, hexagonal axes)
Unique sites:
Ce 0.0000 0.0000 0.1033 x6
Ho 0.0000 0.0000 0.0000 x3
Pt 0.0000 0.0000 0.5000 x3

Output
raw total energy = -69.6 eV for the cell shown

No. 14
Here is crystalline InFe4Rh5 at its relaxed geometry from Alexandria. Energies are from GGA-PBE.

Unit cell a=3.082 b=3.082 c=14.983 alpha=90.00 beta=90.00 gamma=90.00
Space group P4/mmm (No. 123)
Unique sites:
In 0.000 0.000 0.000 x1
Fe 0.000 0.000 0.214 x2
Fe 0.000 0.000 0.401 x2
Rh 0.500 0.500 0.116 x2
Rh 0.500 0.500 0.308 x2
Rh 0.500 0.500 0.500 x1

Output
raw total energy = -74.4 eV for the cell shown

No. 15
Here is crystalline Mn2ZnPd8 at its relaxed geometry from Alexandria. Energies are from GGA-PBE.

Unit cell a=13.958 b=4.009 c=6.195 alpha=90.00 beta=106.14 gamma=90.00
Space group C2/m (No. 12)
Unique sites:
Mn 0.223 0.000 0.150 x4
Zn 0.000 0.500 0.500 x2
Pd 0.042 0.000 0.231 x4
Pd 0.096 0.500 0.958 x4
Pd 0.144 0.000 0.696 x4
Pd 0.178 0.500 0.414 x4

Output
raw total energy = -127.8 eV for the cell shown

No. 16
Here is crystalline BaPu2SeO4 at its relaxed geometry from Alexandria. Energies are from GGA-PBE.

Unit cell a=3.915 b=3.915 c=9.537 alpha=90.00 beta=90.00 gamma=90.00
Space group P4/mmm (No. 123)
Unique sites:
Ba 0.000 0.000 0.000 x1
Pu 0.500 0.500 0.296 x2
Se 0.000 0.000 0.500 x1
O 0.000 0.500 0.196 x4

Output
energy relative to the elements, uncorrected = -20.51 eV per formula unit
raw total energy = -74.4 eV for the cell shown

No. 17
Here is crystalline Cs3BN at its relaxed geometry from Alexandria. Energies are from GGA-PBE.

Unit cell a=5.940 b=5.940 c=5.940 alpha=90.00 beta=90.00 gamma=90.00
Space group Pm-3m (No. 221)
Unique sites:
Cs 0.000 0.000 0.500 x3
B 0.500 0.500 0.500 x1
N 0.000 0.000 0.000 x1

Output
energy relative to the elements, uncorrected = 6.15 eV per formula unit
raw total energy = -11.4 eV for the cell shown

No. 18
Here is crystalline Y2BiP2 at its relaxed geometry from Alexandria. Energies are from GGA-PBE.

Unit cell a=3.889 b=3.889 c=15.728 alpha=90.00 beta=90.00 gamma=90.00
Space group I4/mmm (No. 139)
Unique sites:
Y 0.000 0.000 0.120 x4
Bi 0.000 0.000 0.500 x2
P 0.000 0.500 0.250 x4

Output
raw total energy = -64.0 eV for the cell shown

No. 19
Here is crystalline Ce2ErTl9 at its relaxed geometry from Alexandria. Energies are from GGA-PBE.

Unit cell a=4.808 b=4.808 c=14.397 alpha=90.00 beta=90.00 gamma=90.00
Space group P4/mmm (No. 123)
Unique sites:
Ce 0.000 0.000 0.169 x2
Er 0.000 0.000 0.500 x1
Tl 0.000 0.500 0.000 x2
Tl 0.000 0.500 0.337 x4
Tl 0.500 0.500 0.167 x2
Tl 0.500 0.500 0.500 x1

Output
raw total energy = -40.5 eV for the cell shown

No. 20
Here is crystalline KTiInSn2 at its relaxed geometry from Alexandria. Energies are from GGA-PBE.

Unit cell a=5.354 b=5.354 c=5.487 alpha=90.00 beta=90.00 gamma=90.00
Space group P4/mmm (No. 123)
Unique sites:
K 0.000 0.000 0.000 x1
Ti 0.500 0.500 0.500 x1
In 0.500 0.500 0.000 x1
Sn 0.000 0.500 0.500 x2

Output
raw total energy = -20.0 eV for the cell shown

No. 21
Here is crystalline NdAl2Fe2Ge at its relaxed geometry from Alexandria. Energies are from GGA-PBE.

Unit cell a=4.404 b=4.404 c=5.712 alpha=90.00 beta=90.00 gamma=90.00
Space group P4/mmm (No. 123)
Unique sites:
Nd 0.000 0.000 0.000 x1
Al 0.500 0.500 0.251 x2
Fe 0.000 0.500 0.500 x2
Ge 0.000 0.000 0.500 x1

Output
raw total energy = -34.7 eV for the cell shown